Sr3Ta2 | PBE-GGA | relaxed

Summary:
DOS at the Fermi energy: 9.1 states/eV per cell
Mass density: 5.35 g cm⁻³
Energy of formation: 1.06 eV per atom

abc: 5.118 5.118 8.546
angles: 90.00 90.00 120.00
Sites, in units of the cell vectors:
1 Ta 0.667 0.333 0.055
2 Sr 0.333 0.667 0.318
3 Sr 0.667 0.333 0.682
4 Sr 0.000 0.000 0.000
5 Ta 0.333 0.667 0.945

SrTa2 | PBE-GGA | relaxed

Summary:
Excess energy over the best structure of this formula in the dataset: 0.501 eV per atom
DOS at the Fermi energy: 4.3 states/eV per cell
Mass density: 11.08 g cm⁻³
Energy of formation: 1.04 eV per atom

abc: 8.933 8.933 5.278
angles: 90.00 90.00 161.34
Sites, in units of the cell vectors:
1 Ta 0.047 0.953 0.250
2 Ta 0.709 0.291 0.250
3 Ta 0.291 0.709 0.750
4 Ta 0.953 0.047 0.750
5 Sr 0.622 0.378 0.750
6 Sr 0.378 0.622 0.250

SrTa | PBE-GGA | relaxed

Summary:
Excess energy over the best structure of this formula in the dataset: 0.692 eV per atom
DOS at the Fermi energy: 3.8 states/eV per cell
Mass density: 8.72 g cm⁻³
Energy of formation: 1.19 eV per atom

abc: 6.073 6.073 6.073
angles: 30.50 30.50 30.50
Sites, in units of the cell vectors:
1 Ta 0.500 0.500 0.500
2 Sr 0.000 0.000 0.000

SrTa | PBE-GGA | relaxed

Summary:
Excess energy over the best structure of this formula in the dataset: 0.739 eV per atom
DOS at the Fermi energy: 15.5 states/eV per cell
Mass density: 7.36 g cm⁻³
Energy of formation: 1.24 eV per atom

abc: 5.792 5.792 8.343
angles: 90.00 90.00 120.00
Site moments in Bohr magnetons follow the coordinates.
Sites, in units of the cell vectors:
1 Sr 0.333 0.667 0.750  0.03
2 Ta 0.333 0.667 0.106  0.16
3 Sr 0.667 0.333 0.250  0.03
4 Ta 0.667 0.333 0.606  0.16
5 Ta 0.333 0.667 0.394  0.16
6 Sr 0.000 0.000 0.250  0.01
7 Sr 0.000 0.000 0.750  0.01
8 Ta 0.667 0.333 0.894  0.16